DFT (PBE-GGA) results for an optimized crystal structure of GeBiN2.

Geometry as POSCAR:
```
GeBiN2
1.0
1.587 0.916 6.643
-1.587 0.916 6.643
0.000 -1.833 6.643
Ge Bi N
1 1 2
Cartesian
0.000 0.000 0.000
0.000 0.000 9.964
0.000 0.000 7.625
0.000 0.000 12.302
```

## Properties
* uncorrected formation energy: 575 meV per atom
* space group: R-3m
* magnetic moment: 0.000 μB per formula unit

DFT (PBE-GGA) results for an optimized crystal structure of AsPb2.

Geometry as POSCAR:
```
AsPb2
1.0
6.492 0.000 0.000
-3.246 5.622 0.000
0.000 0.000 11.382
As Pb
4 8
Cartesian
0.000 3.748 0.568
0.000 3.748 5.123
3.246 1.874 6.259
3.246 1.874 10.814
0.000 0.000 0.000
0.000 0.000 5.691
0.000 1.879 2.846
-1.618 4.682 2.846
1.628 0.940 8.537
1.618 4.682 2.846
4.864 0.940 8.537
3.246 3.743 8.537
```

## Properties
* formation enthalpy at 0 K: 117 kJ/mol of formula units
* space group: P6_3/mmc
* magnetic moment: 0.000 μB per formula unit

DFT (PBE-GGA) results for an optimized crystal structure of LiMg2TcH8.

Geometry as POSCAR:
```
LiMg2TcH8
1.0
-2.237 2.237 4.461
2.237 -2.237 4.461
2.237 2.237 -4.461
Li Mg Tc H
1 2 1 8
Cartesian
0.000 0.000 0.000
2.237 0.000 2.230
0.000 0.000 4.461
0.000 2.237 2.230
1.176 1.016 -1.179
3.298 1.016 -1.179
1.016 1.176 1.179
1.222 -1.061 5.640
-1.061 1.222 3.282
1.061 1.222 3.282
1.016 3.298 1.179
1.222 1.061 5.640
```

## Properties
* space group: I-4m2
* magnetic moment: 0.000 μB per formula unit

DFT (PBE-GGA) results for an optimized crystal structure of AcPuN3.

Geometry as POSCAR:
```
AcPuN3
1.0
3.415 0.000 0.000
0.000 4.083 0.000
0.000 0.000 5.634
Ac Pu N
1 1 3
Cartesian
0.000 0.000 0.000
0.000 2.042 2.817
0.000 0.000 2.817
1.707 2.042 1.389
1.707 2.042 4.245
```

## Properties
* uncorrected formation energy: -664 meV per atom
* space group: Pmmm
* magnetic moment: 1.958 μB per formula unit

DFT (PBE-GGA) results for an optimized crystal structure of BaP2Br.

Geometry as POSCAR:
```
BaP2Br
1.0
4.458 0.000 0.000
0.000 3.734 0.000
-1.886 0.000 7.677
Ba P Br
1 2 1
Cartesian
0.000 0.000 0.000
1.968 0.000 2.671
3.095 1.867 2.235
0.354 1.867 6.129
```

## Properties
* uncorrected formation energy: -811 meV per atom
* space group: Pm
* magnetic moment: 0.000 μB per formula unit

DFT (PBE-GGA) results for an optimized crystal structure of La2NiSn4Ir3.

Geometry as POSCAR:
```
La2NiSn4Ir3
1.0
4.552 0.000 0.000
0.000 4.552 0.000
0.000 0.000 10.730
La Ni Sn Ir
2 1 4 3
Cartesian
0.000 2.276 2.659
2.276 0.000 8.071
2.276 2.276 0.000
0.000 0.000 5.365
0.000 2.276 9.409
2.276 0.000 1.321
2.276 2.276 5.365
0.000 0.000 0.000
0.000 2.276 6.794
2.276 0.000 3.936
```

## Properties
* formation enthalpy at 0 K: -557 kJ/mol of formula units
* space group: P-4m2
* magnetic moment: 0.005 μB per formula unit

DFT (PBE-GGA) results for an optimized crystal structure of Be2TlCl.

Geometry as POSCAR:
```
Be2TlCl
1.0
2.918 -3.612 0.000
2.918 3.612 0.000
-2.185 0.000 3.574
Be Tl Cl
2 1 1
Cartesian
1.459 1.806 0.000
1.459 -1.806 0.000
-1.092 0.000 1.787
1.825 0.000 1.787
```

## Properties
* uncorrected formation energy: 593 meV per atom
* space group: C2/m
* magnetic moment: 0.000 μB per formula unit

DFT (PBE-GGA) results for an optimized crystal structure of PmBeC2.

Geometry as POSCAR:
```
PmBeC2
1.0
3.864 0.000 0.000
0.000 2.151 2.956
0.000 -2.151 2.956
Pm Be C
1 1 2
Cartesian
0.000 0.000 0.000
1.932 0.000 2.222
1.932 -0.691 4.145
1.932 0.691 4.145
```

## Properties
* formation enthalpy at 0 K: -38 kJ/mol of formula units
* space group: Amm2
* magnetic moment: 0.000 μB per formula unit

DFT (PBE-GGA) results for an optimized crystal structure of Ga3Pb2.

Geometry as POSCAR:
```
Ga3Pb2
1.0
3.638 2.100 5.846
-3.638 2.100 5.846
0.000 -4.200 5.846
Ga Pb
6 4
Cartesian
-0.802 -1.389 4.385
-0.802 1.389 4.385
1.604 0.000 4.385
-1.604 0.000 13.154
0.802 -1.389 13.154
0.802 1.389 13.154
0.000 0.000 1.648
0.000 0.000 7.122
0.000 0.000 10.417
0.000 0.000 15.891
```

## Properties
* formation enthalpy at 0 K: 78 kJ/mol of formula units
* space group: R-3c
* magnetic moment: 0.000 μB per formula unit

DFT (PBE-GGA) results for an optimized crystal structure of Pr6Au2N.

Geometry as POSCAR:
```
Pr6Au2N
1.0
6.810 0.000 0.000
0.000 7.417 0.000
-6.621 0.000 10.242
Pr Au N
12 4 2
Cartesian
-0.769 0.192 2.448
-4.080 3.516 7.569
1.198 5.229 0.557
-2.112 5.896 5.678
2.096 1.368 0.551
-1.214 2.341 5.672
1.404 5.076 4.570
-1.906 6.049 9.691
2.302 1.521 4.564
-1.008 2.188 9.685
4.270 3.901 2.673
0.959 7.225 7.794
-2.899 0.672 7.684
0.411 3.037 2.563
-0.221 4.380 7.679
3.089 6.745 2.558
0.000 0.000 0.000
-3.310 3.708 5.121
```

## Properties
* uncorrected formation energy: -638 meV per atom
* space group: P2_1/c
* magnetic moment: 0.000 μB per formula unit

DFT (PBE-GGA) results for an optimized crystal structure of K2Bi2Pd5.

Geometry as POSCAR:
```
K2Bi2Pd5
1.0
7.912 -3.751 0.000
7.912 3.751 0.000
0.000 0.000 8.325
K Bi Pd
4 4 10
Cartesian
3.296 0.000 0.000
4.616 0.000 4.163
11.208 0.000 4.163
12.528 0.000 0.000
7.912 2.562 5.693
7.912 1.188 1.530
7.912 -1.188 6.795
7.912 -2.562 2.633
0.000 0.000 0.000
6.433 2.613 3.345
9.391 2.613 3.345
6.433 1.138 7.507
9.391 1.138 7.507
7.912 0.000 4.163
6.433 -1.138 0.818
9.391 -1.138 0.818
6.433 -2.613 4.981
9.391 -2.613 4.981
```

## Properties
* formation enthalpy at 0 K: -36 kJ/mol of formula units
* space group: Cmce
* magnetic moment: 0.000 μB per formula unit

DFT (PBE-GGA) results for an optimized crystal structure of La2In3Pb.

Geometry as POSCAR:
```
La2In3Pb
1.0
3.710 0.000 0.000
0.000 5.201 0.000
0.000 0.000 9.053
La In Pb
2 3 1
Cartesian
0.000 0.000 0.000
0.000 2.601 4.464
1.855 0.000 2.967
1.855 0.000 5.933
1.855 2.601 1.537
1.855 2.601 7.529
```

## Properties
* formation enthalpy at 0 K: -266 kJ/mol of formula units
* space group: Pmm2
* magnetic moment: 0.000 μB per formula unit

Values for energy, eV/cell, ordered as above
-22.850 -43.419 -44.235 -46.737 -17.660 -64.004 -9.291 -27.316 -31.378 -98.602 -72.578 -24.540